The following is a DFT calculation (PBE) of a relaxed structure of Ca3Hg5.

Energy above the most stable polymorph in this dataset in eV/atom: 0.000
E_tot in eV/f.u.: -11.33
DOS at the Fermi energy in states/eV/cell: 8.254

Unit cell a=6.508 b=6.508 c=10.487 alpha=90.00 beta=90.00 gamma=104.47
Positions (direct):
Ca: 0.207 0.793 0.000
Ca: 0.793 0.207 0.000
Ca: 0.793 0.207 0.500
Ca: 0.207 0.793 0.500
Ca: 0.600 0.600 0.750
Ca: 0.400 0.400 0.250
Hg: 0.492 0.056 0.750
Hg: 0.508 0.944 0.250
Hg: 0.056 0.492 0.750
Hg: 0.944 0.508 0.250
Hg: 0.990 0.990 0.750
Hg: 0.010 0.010 0.250
Hg: 0.304 0.304 0.960
Hg: 0.696 0.696 0.040
Hg: 0.696 0.696 0.460
Hg: 0.304 0.304 0.540

---

The following is a DFT calculation (PBE) of a relaxed structure of Ca3Hg7.

E_tot in eV/f.u.: -12.13
DOS at the Fermi energy in states/eV/cell: 4.666

Unit cell a=5.054 b=6.546 c=8.743 alpha=109.18 beta=106.80 gamma=90.00
Positions (direct):
Ca: 0.000 0.000 0.000
Ca: 0.801 0.347 0.601
Ca: 0.199 0.653 0.399
Hg: 0.000 0.500 0.000
Hg: 0.803 0.849 0.607
Hg: 0.197 0.151 0.393
Hg: 0.596 0.346 0.191
Hg: 0.404 0.654 0.809
Hg: 0.610 0.857 0.221
Hg: 0.390 0.143 0.779

---

The following is a DFT calculation (PBE) of a relaxed structure of Ca3Hg.

Energy above the most stable polymorph in this dataset in eV/atom: 0.000
E_tot in eV/f.u.: -7.52
DOS at the Fermi energy in states/eV/cell: 17.369

Unit cell a=6.884 b=8.126 c=10.108 alpha=90.00 beta=90.00 gamma=90.00
Positions (direct):
Ca: 0.844 0.179 0.942
Ca: 0.344 0.321 0.058
Ca: 0.156 0.821 0.442
Ca: 0.656 0.679 0.558
Ca: 0.156 0.821 0.058
Ca: 0.656 0.679 0.942
Ca: 0.844 0.179 0.558
Ca: 0.344 0.321 0.442
Ca: 0.373 0.029 0.750
Ca: 0.873 0.471 0.250
Ca: 0.627 0.971 0.250
Ca: 0.127 0.529 0.750
Hg: 0.555 0.381 0.750
Hg: 0.055 0.119 0.250
Hg: 0.445 0.619 0.250
Hg: 0.945 0.881 0.750

---

The following is a DFT calculation (PBE) of a relaxed structure of Ca3Hg.

Energy above the most stable polymorph in this dataset in eV/atom: 0.046
E_tot in eV/f.u.: -7.34
DOS at the Fermi energy in states/eV/cell: 8.421

Unit cell a=8.121 b=8.121 c=4.478 alpha=90.00 beta=90.00 gamma=104.17
Positions (direct):
Ca: 0.887 0.113 0.750
Ca: 0.113 0.887 0.250
Ca: 0.823 0.571 0.750
Ca: 0.177 0.429 0.250
Ca: 0.429 0.177 0.750
Ca: 0.571 0.823 0.250
Hg: 0.718 0.282 0.250
Hg: 0.282 0.718 0.750

---

The following is a DFT calculation (PBE) of a relaxed structure of Ca3Hg.

Energy above the most stable polymorph in this dataset in eV/atom: 0.055
E_tot in eV/f.u.: -7.31
DOS at the Fermi energy in states/eV/cell: 4.116

Unit cell a=6.983 b=6.983 c=6.983 alpha=147.39 beta=130.42 gamma=60.62
Positions (direct):
Ca: 0.296 0.296 0.000
Ca: 0.704 0.704 0.000
Ca: 0.000 0.500 0.500
Hg: 0.500 0.000 0.500

---

The following is a DFT calculation (PBE) of a relaxed structure of CaHo2Hg2.

E_tot in eV/f.u.: -13.77
DOS at the Fermi energy in states/eV/cell: 6.397

Unit cell a=3.709 b=5.368 c=13.879 alpha=90.00 beta=97.64 gamma=90.00
Positions (direct):
Ca: 0.856 0.750 0.712
Ca: 0.144 0.250 0.288
Ho: 0.048 0.750 0.096
Ho: 0.952 0.250 0.904
Ho: 0.233 0.750 0.466
Ho: 0.767 0.250 0.534
Hg: 0.643 0.750 0.286
Hg: 0.357 0.250 0.714
Hg: 0.454 0.750 0.911
Hg: 0.546 0.250 0.089

---

Energy of formation from the pure elements in eV per atom, matching the order above: -0.48 -0.40 -0.30 -0.26 -0.25 -0.40